Entry 1:
Below is a relaxed TlFeTc2 crystal, with properties calculated at the PBEsol level.

a = 2.8123 Å, b = 2.8123 Å, c = 8.9706 Å
α = 80.98°, β = 80.98°, γ = 60.00°
Closest atoms and distances in Å follow each position.
Fractional positions:
Tl (0.5000, 0.5000, 0.5000)  6 Tl 2.81, 6 Tc 2.95
Tc (0.7401, 0.7401, 0.7796)  3 Fe 2.53, 6 Tc 2.81
Tc (0.2599, 0.2599, 0.2204)  3 Fe 2.53, 6 Tc 2.81
Fe (0.0000, 0.0000, 0.0000)  6 Tc 2.53, 6 Fe 2.81

Calculated values
ΔE to the lowest computed polymorph: 184 meV/atom
formation enthalpy at 0 K: 0.596 eV/atom
symmetry: R-3m



Entry 2:
Below is a relaxed Na2VPCO7 crystal, with properties calculated at the PBEsol level.

a = 5.1842 Å, b = 6.4486 Å, c = 8.9689 Å
α = 90.00°, β = 91.50°, γ = 90.00°
Closest atoms and distances in Å follow each position.
Fractional positions:
O (0.2930, 0.4439, 0.6653)  1 P 1.55
O (0.8119, 0.2500, 0.9430)  1 C 1.25
O (0.2930, 0.0561, 0.6653)  1 P 1.55
O (0.7070, 0.5561, 0.3347)  1 P 1.55
O (0.6507, 0.7500, 0.5769)  1 P 1.55
O (0.4518, 0.7500, 0.8590)  1 C 1.31
O (0.5482, 0.2500, 0.1410)  1 C 1.31
O (0.3493, 0.2500, 0.4231)  1 P 1.55
O (0.0351, 0.7500, 0.8180)  1 C 1.32
O (0.7070, 0.9439, 0.3347)  1 P 1.55
O (0.9136, 0.2500, 0.5480)  1 P 1.56
O (0.9649, 0.2500, 0.1820)  1 C 1.32
O (0.0864, 0.7500, 0.4520)  1 P 1.56
O (0.1881, 0.7500, 0.0570)  1 C 1.25
P (0.2117, 0.2500, 0.5745)  4 O 1.55-1.56
P (0.7883, 0.7500, 0.4255)  4 O 1.55-1.56
Na (0.2599, 0.9929, 0.2315)  5 O 2.24-2.49
Na (0.7401, 0.4929, 0.7685)  5 O 2.24-2.49
Na (0.2599, 0.5071, 0.2315)  5 O 2.24-2.49
Na (0.7401, 0.0071, 0.7685)  5 O 2.24-2.49
C (0.7756, 0.2500, 0.0800)  3 O 1.25-1.32
C (0.2244, 0.7500, 0.9200)  3 O 1.25-1.32
V (0.7107, 0.2500, 0.3494)  6 O 1.98-2.04
V (0.2893, 0.7500, 0.6506)  6 O 1.98-2.04

Calculated values
ΔE to the lowest computed polymorph: 0 meV/atom
energy relative to the elements, uncorrected: -2.0236 eV/atom
symmetry: P2_1/m



Entry 3:
Below is a relaxed AlHgBr4 crystal, with properties calculated at the PBEsol level.

a = 6.1715 Å, b = 6.1715 Å, c = 6.1715 Å
α = 60.00°, β = 60.00°, γ = 60.00°
Closest atoms and distances in Å follow each position.
Fractional positions:
Br (0.3751, 0.8748, 0.3751)  6 Br 3.08-3.09
Br (0.3751, 0.3751, 0.3751)  6 Br 3.08-3.09
Br (0.3751, 0.3751, 0.8748)  6 Br 3.08-3.09
Br (0.8748, 0.3751, 0.3751)  6 Br 3.08-3.09
Hg (0.7500, 0.7500, 0.7500)  12 Br 3.62, 4 Al 3.78
Al (0.0000, 0.0000, 0.0000)  12 Br 3.62, 4 Hg 3.78

Calculated values
energy relative to the elements, uncorrected: 0.3771 eV/atom
symmetry: F-43m



Entry 4:
Below is a relaxed Sr2SiSO crystal, with properties calculated at the PBEsol level.

a = 3.8232 Å, b = 5.2222 Å, c = 5.2222 Å
α = 90.00°, β = 90.00°, γ = 90.00°
Closest atoms and distances in Å follow each position.
Fractional positions:
Sr (0.0000, 0.0000, 0.5000)  2 O 2.61
Sr (0.0000, 0.5000, 0.0000)  2 O 2.61
O (0.0000, 0.0000, 0.0000)  2 Si 1.91
S (0.5000, 0.5000, 0.5000)  8 Sr 3.24
Si (0.5000, 0.0000, 0.0000)  2 O 1.91

Calculated values
energy relative to the elements, uncorrected: -1.4184 eV/atom
symmetry: P4/mmm



Entry 5:
Below is a relaxed Ti3OsF crystal, with properties calculated at the PBEsol level.

a = 4.0765 Å, b = 4.0765 Å, c = 4.0765 Å
α = 90.00°, β = 90.00°, γ = 90.00°
Closest atoms and distances in Å follow each position.
Fractional positions:
Ti (0.0000, 0.0000, 0.5000)  2 F 2.04
Ti (0.0000, 0.5000, 0.0000)  2 F 2.04
Ti (0.5000, 0.0000, 0.0000)  2 F 2.04
F (0.0000, 0.0000, 0.0000)  6 Ti 2.04
Os (0.5000, 0.5000, 0.5000)  12 Ti 2.88

Calculated values
energy relative to the elements, uncorrected: -0.6335 eV/atom
symmetry: Pm-3m



Entry 6:
Below is a relaxed CoMoOs2 crystal, with properties calculated at the PBEsol level.

a = 3.7935 Å, b = 3.7935 Å, c = 4.5819 Å
α = 114.45°, β = 114.45°, γ = 90.00°
Closest atoms and distances in Å follow each position.
Fractional positions:
Co (0.5000, 0.5000, 0.0000)  8 Os 2.65, 4 Mo 2.68
Os (0.2500, 0.7500, 0.5000)  4 Mo 2.65, 4 Co 2.65, 4 Os 2.68
Os (0.7500, 0.2500, 0.5000)  4 Mo 2.65, 4 Co 2.65, 4 Os 2.68
Mo (0.0000, 0.0000, 0.0000)  8 Os 2.65, 4 Co 2.68

Calculated values
ΔE to the lowest computed polymorph: 63 meV/atom
formation enthalpy at 0 K: 0.076 eV/atom
symmetry: I4/mmm